Tb2PmPr5: optimized geometry, PBE-GGA.

Unit cell a=10.1792 b=6.6515 c=11.0813 alpha=118.10 beta=117.34 gamma=90.00
Atoms (fractional coordinates):
Tb  0.1763  0.4752  0.8407
Tb  0.6644  0.9752  0.8407
Tb  0.8237  0.5248  0.1593
Tb  0.3356  0.0248  0.1593
Pm  0.0000  0.0000  0.5000
Pm  0.5000  0.5000  0.5000
Pr  0.4997  0.4561  0.8100
Pr  0.9423  0.7500  0.0000
Pr  0.0577  0.2500  0.0000
Pr  0.8837  0.6141  0.5938
Pr  0.1163  0.3859  0.4062
Pr  0.7102  0.1141  0.5938
Pr  0.2898  0.8859  0.4062
Pr  0.5003  0.5439  0.1900
Pr  0.3103  0.9561  0.8100
Pr  0.6897  0.0439  0.1900

Properties
The space group is C2/c, No. 15. As for the formation energy: 0.14 eV/atom. Its energy above the most stable polymorph in this dataset is 131 meV per atom. Its total DFT energy (no corrections) is -73.513 eV for the cell shown. The spin magnetization is 0.000 μB per atom. The crystal system is monoclinic.

=====

Mg2ZrPt2: optimized geometry, PBE-GGA.

Unit cell a=3.7889 b=3.7889 c=7.0402 alpha=74.39 beta=74.39 gamma=90.00
Atoms (fractional coordinates):
Mg  0.7500  0.2500  0.5000
Mg  0.2500  0.7500  0.5000
Zr  0.0000  0.0000  0.0000
Pt  0.3984  0.3984  0.2032
Pt  0.6016  0.6016  0.7968

Properties
The space group is I4/mmm, No. 139. As for the formation energy: -0.65 eV/atom. Its energy above the most stable polymorph in this dataset is 113 meV per atom. Its total DFT energy (no corrections) is -27.046 eV for the cell shown. The spin magnetization is 0.000 μB per atom. The crystal system is tetragonal.

=====

K2YAsSe4: optimized geometry, PBE-GGA.

Unit cell a=8.5909 b=8.5909 c=8.6412 alpha=120.19 beta=120.19 gamma=90.04
Atoms (fractional coordinates):
K  0.5000  0.0000  0.0000
K  0.5000  0.0000  0.5000
K  0.0000  0.0000  0.5000
K  0.5000  0.5000  0.0000
Y  0.0000  0.5000  0.0000
Y  0.0000  0.5000  0.5000
As  0.5000  0.5000  0.5000
As  0.0000  0.0000  0.0000
Se  0.2059  0.7454  0.9756
Se  0.7546  0.2941  0.5244
Se  0.2454  0.7059  0.4756
Se  0.7941  0.2546  0.0244
Se  0.7621  0.7379  0.9623
Se  0.7621  0.7379  0.5377
Se  0.2379  0.2621  0.4623
Se  0.2379  0.2621  0.0377

Properties
The space group is Imma, No. 74. Its formation energy (no corrections) is -1103 meV per atom. Its total DFT energy (no corrections) is -72.145 eV for the cell shown. The spin magnetization is 0.000 μB per atom. The crystal system is orthorhombic.

=====

PaGeRh3: optimized geometry, PBE-GGA.

Unit cell a=6.2782 b=6.2782 c=6.2782 alpha=104.07 beta=127.82 gamma=98.26
Atoms (fractional coordinates):
Pa  0.9919  0.7419  0.7500
Pa  0.0081  0.2581  0.2500
Ge  0.5000  0.5000  0.0000
Ge  0.5000  0.0000  0.5000
Rh  0.5000  0.3111  0.3111
Rh  0.0000  0.6889  0.1889
Rh  0.5000  0.6889  0.6889
Rh  0.0000  0.3111  0.8111
Rh  0.6935  0.9435  0.2500
Rh  0.3065  0.0565  0.7500

Properties
The space group is Imma, No. 74. As for the formation energy: -0.68 eV/atom. Its energy above the most stable polymorph in this dataset is 22 meV per atom. Its total DFT energy (no corrections) is -79.148 eV for the cell shown. The spin magnetization is 0.000 μB per atom. The crystal system is orthorhombic.